A plane-wave DFT calculation with GGA-PBE was carried out for NaCdRu2 after structural relaxation.

## Properties
- energy relative to the elements (kJ/mol of formula units) = 410
- space group = I-42d

abc: 7.771 7.771 6.038
angles: 49.95 49.95 90.00
Sites, in units of the cell vectors:
Ru 0.101 0.625 0.250
Ru 0.649 0.125 0.250
Ru 0.875 0.899 0.750
Ru 0.375 0.351 0.750
Cd 0.750 0.250 0.500
Cd 0.000 0.000 0.000
Na 0.500 0.500 0.000
Na 0.250 0.750 0.500

A plane-wave DFT calculation with GGA-PBE was carried out for NdHoLuSn after structural relaxation.

## Properties
- energy relative to the elements (kJ/mol of formula units) = -92
- space group = F-43m

abc: 5.429 5.429 5.429
angles: 60.00 60.00 60.00
Sites, in units of the cell vectors:
Nd 0.250 0.250 0.250
Sn 0.500 0.500 0.500
Ho 0.750 0.750 0.750
Lu 0.000 0.000 0.000

A plane-wave DFT calculation with GGA-PBE was carried out for Ac2Pm3Tl after structural relaxation.

## Properties
- energy relative to the elements (kJ/mol of formula units) = -38
- space group = Cmmm

abc: 5.110 5.149 8.415
angles: 107.82 90.00 90.00
Sites, in units of the cell vectors:
Pm 0.500 0.842 0.683
Pm 0.500 0.500 0.000
Pm 0.500 0.158 0.317
Ac 0.000 0.337 0.674
Ac 0.000 0.663 0.326
Tl 0.000 0.000 0.000

A plane-wave DFT calculation with GGA-PBE was carried out for ReOsRu after structural relaxation.

## Properties
- energy relative to the elements (kJ/mol of formula units) = 158
- polymorph energy (0 for the lowest one) (meV/atom) = 482
- space group = Fdd2

abc: 6.478 6.478 6.046
angles: 114.85 114.85 102.44
Sites, in units of the cell vectors:
Os 0.311 0.714 0.768
Os 0.964 0.061 0.268
Os 0.793 0.696 0.732
Os 0.946 0.543 0.232
Ru 0.610 0.730 0.278
Ru 0.581 0.201 0.222
Ru 0.451 0.331 0.722
Ru 0.980 0.360 0.778
Re 0.257 0.857 0.209
Re 0.107 0.007 0.709
Re 0.648 0.048 0.791
Re 0.298 0.398 0.291

A plane-wave DFT calculation with GGA-PBE was carried out for TaMnV2 after structural relaxation.

## Properties
- energy relative to the elements (kJ/mol of formula units) = 165
- polymorph energy (0 for the lowest one) (meV/atom) = 507
- space group = C2/m

abc: 2.800 4.813 5.087
angles: 118.23 82.45 90.00
Sites, in units of the cell vectors:
Mn 0.500 0.000 0.000
V 0.136 0.791 0.583
V 0.864 0.209 0.417
Ta 0.500 0.500 0.000

A plane-wave DFT calculation with GGA-PBE was carried out for Ac2LaPu3Te6 after structural relaxation.

## Properties
- E_form (uncorrected) (meV/atom) = -1100
- space group = C2/m

abc: 4.248 9.327 13.930
angles: 132.31 98.77 90.00
Sites, in units of the cell vectors:
Pu 0.500 0.500 0.000
Pu 0.376 0.016 0.751
Pu 0.624 0.984 0.249
Te 0.842 0.183 0.683
Te 0.998 0.740 0.997
Te 0.002 0.260 0.003
Te 0.154 0.296 0.307
Te 0.846 0.704 0.693
Te 0.158 0.817 0.317
La 0.500 0.000 0.000
Ac 0.288 0.329 0.575
Ac 0.712 0.671 0.425

A plane-wave DFT calculation with GGA-PBE was carried out for YLuCuIr after structural relaxation.

## Properties
- energy relative to the elements (kJ/mol of formula units) = -241
- space group = F-43m

abc: 4.830 4.830 4.830
angles: 60.00 60.00 60.00
Sites, in units of the cell vectors:
Cu 0.000 0.000 0.000
Ir 0.500 0.500 0.500
Lu 0.250 0.250 0.250
Y 0.750 0.750 0.750

A plane-wave DFT calculation with GGA-PBE was carried out for K2CuBr after structural relaxation.

## Properties
- E_form (uncorrected) (meV/atom) = -601
- polymorph energy (0 for the lowest one) (meV/atom) = 0
- space group = R-3m

abc: 4.624 4.624 8.601
angles: 74.39 74.39 60.01
Sites, in units of the cell vectors:
Br 0.750 0.750 0.750
Cu 0.250 0.250 0.250
K 0.003 0.003 0.992
K 0.497 0.497 0.508

The calculation returns the following raw total energy values, one per record and in order: -33.07, -18.83, -25.23, -125.25, -37.55, -88.19, -26.44, -10.37 eV for the cell shown.